# CsCdCu3

A geometry-optimized CsCdCu3 structure (PBE, Alexandria).

Calculated values
D(E_F) ... 3.6 states/eV/f.u.
Energy ... -1.179 eV/atom
Polymorph energy (0 for the lowest one) ... 1066 meV per atom
Size of the total moment ... 0.00 μB per cell

```
data_CsCdCu3
_chemical_formula_sum 'Cs1 Cd1 Cu3'
_space_group_name_H-M_alt 'P 1'
_space_group_IT_number 1
_cell_length_a 5.597
_cell_length_b 5.597
_cell_length_c 5.597
_cell_angle_alpha 90.00
_cell_angle_beta 90.00
_cell_angle_gamma 90.00
loop_
_space_group_symop_operation_xyz
'x,y,z'
loop_
_atom_site_label
_atom_site_type_symbol
_atom_site_fract_x
_atom_site_fract_y
_atom_site_fract_z
_atom_site_occupancy
Cs1 Cs 0.000 0.000 0.000 1
Cd1 Cd 0.500 0.500 0.500 1
Cu1 Cu 0.000 0.000 0.500 1
Cu2 Cu 0.000 0.500 0.000 1
Cu3 Cu 0.500 0.000 0.000 1
```